Below is crystalline Mn3CrP6O24 at its relaxed geometry, with properties calculated at the GGA+U level.

Magnetization, μB per formula unit: 8.818
Total energy, eV/f.u.: -240.885

Unit cell a=8.689 b=8.689 c=8.689 alpha=56.84 beta=56.84 gamma=56.84
Each line ends with the local moment (μB).
Fractional positions:
O 0.222 0.168 0.519  -0.12
O 0.004 0.621 0.807  -0.15
O 0.519 0.222 0.168  -0.12
O 0.539 0.181 0.493  -0.11
O 0.461 0.817 0.510  -0.10
O 0.104 0.895 0.737  -0.16
O 0.256 0.890 0.116  -0.13
O 0.807 0.004 0.621  -0.15
O 0.510 0.461 0.817  -0.10
O 0.379 0.194 0.993  -0.12
O 0.181 0.493 0.539  -0.11
O 0.116 0.256 0.890  -0.13
O 0.478 0.781 0.833  -0.13
O 0.895 0.737 0.104  -0.16
O 0.833 0.478 0.781  -0.13
O 0.781 0.833 0.478  -0.13
O 0.817 0.510 0.461  -0.10
O 0.890 0.116 0.256  -0.13
O 0.737 0.104 0.895  -0.16
O 0.493 0.539 0.181  -0.11
O 0.194 0.993 0.379  -0.12
O 0.168 0.519 0.222  -0.12
O 0.993 0.379 0.194  -0.12
O 0.621 0.807 0.004  -0.15
P 0.252 0.969 0.532  0.02
P 0.532 0.252 0.969  0.02
P 0.033 0.463 0.751  0.02
P 0.969 0.532 0.252  0.02
P 0.463 0.751 0.033  0.02
P 0.751 0.033 0.463  0.02
Mn 0.648 0.648 0.648  3.31
Mn 0.141 0.141 0.141  3.16
Mn 0.354 0.354 0.354  3.29
Cr 0.860 0.860 0.860  2.15